TbPr4Nd2Y2, relaxed, DFT PBE-GGA; Fermi-level density of states = 14.9 states/eV/f.u.; calculated formation energy = 0.0180 eV per atom; space-group type = C2/m (12)
1.0
5.188 0.000 0.000
-2.594 7.782 0.016
0.000 -2.615 7.727
Pr Y Nd Tb
4 2 2 1
direct
0.445 0.891 0.669 Pr
0.222 0.444 0.332 Pr
0.555 0.109 0.331 Pr
0.778 0.556 0.668 Pr
0.333 0.667 0.000 Y
0.667 0.333 0.000 Y
0.111 0.222 0.669 Nd
0.889 0.778 0.331 Nd
0.000 0.000 0.000 Tb

=====

SrTaGe3, relaxed, DFT PBE-GGA; Fermi-level density of states = 3.6 states/eV/f.u.; calculated formation energy = -0.1468 eV per atom; space-group type = Pm-3m (221)
1.0
5.054 0.000 0.000
0.000 5.054 0.000
0.000 0.000 5.054
Ge Sr Ta
3 1 1
direct
0.000 0.500 0.000 Ge
0.000 0.000 0.500 Ge
0.500 0.000 0.000 Ge
0.500 0.500 0.500 Sr
0.000 0.000 0.000 Ta

=====

Sm2ZnCu2Ni5, relaxed, DFT PBE-GGA; Fermi-level density of states = 4.2 states/eV/f.u.; calculated formation energy = -0.1918 eV per atom; space-group type = P4/mbm (127)
1.0
3.715 0.000 0.000
0.000 9.012 0.000
0.000 0.000 9.012
Ni Cu Zn Sm
10 4 2 4
direct
0.500 0.443 0.296 Ni
0.500 0.557 0.704 Ni
0.500 0.500 0.000 Ni
0.500 0.943 0.204 Ni
0.500 0.204 0.057 Ni
0.500 0.296 0.557 Ni
0.500 0.796 0.943 Ni
0.500 0.057 0.796 Ni
0.500 0.000 0.500 Ni
0.500 0.704 0.443 Ni
0.000 0.884 0.384 Cu
0.000 0.116 0.616 Cu
0.000 0.616 0.884 Cu
0.000 0.384 0.116 Cu
0.000 0.000 0.000 Zn
0.000 0.500 0.500 Zn
0.000 0.818 0.682 Sm
0.000 0.182 0.318 Sm
0.000 0.318 0.818 Sm
0.000 0.682 0.182 Sm

=====

Rb2SiH5S, relaxed, DFT PBE-GGA; energy = -3.290 eV per atom; Fermi-level density of states = 3.5 states/eV/f.u.; space-group type = I4mm (107)
1.0
5.829 0.166 0.241
-2.622 5.209 -0.241
-2.622 -2.080 4.782
H Rb Si S
5 2 1 1
direct
0.000 0.221 0.221 H
0.000 0.828 0.187 H
0.359 0.187 0.187 H
0.641 0.828 0.828 H
0.000 0.187 0.828 H
0.500 0.777 0.277 Rb
0.500 0.277 0.777 Rb
0.000 0.014 0.014 Si
0.000 0.681 0.681 S

=====

Pm8SeS6, relaxed, DFT PBE-GGA; Fermi-level density of states = 6.7 states/eV/f.u.; space-group type = P-3 (147); formation energy without anion corrections = -1.611 eV per atom
1.0
4.127 0.000 0.000
0.000 8.969 -5.178
0.000 0.000 10.356
Pm S Se
8 6 1
direct
0.741 0.965 0.300 Pm
0.253 0.667 0.333 Pm
0.259 0.300 0.335 Pm
0.259 0.665 0.965 Pm
0.747 0.333 0.667 Pm
0.741 0.700 0.665 Pm
0.741 0.335 0.035 Pm
0.259 0.035 0.700 Pm
0.245 0.518 0.652 S
0.755 0.652 0.134 S
0.755 0.482 0.348 S
0.245 0.348 0.866 S
0.245 0.134 0.482 S
0.755 0.866 0.518 S
0.500 0.000 0.000 Se

=====

CoPdPt2, relaxed, DFT PBE-GGA; Fermi-level density of states = 4.8 states/eV/f.u.; calculated formation energy = 0.2981 eV per atom; space-group type = I-42d (122)
1.0
-4.164 -5.612 0.327
1.322 -0.582 6.845
-3.466 -1.549 4.112
Pt Pd Co
4 2 2
direct
0.159 0.625 0.250 Pt
0.591 0.125 0.250 Pt
0.375 0.409 0.750 Pt
0.875 0.841 0.750 Pt
0.000 0.000 0.000 Pd
0.750 0.250 0.500 Pd
0.250 0.750 0.500 Co
0.500 0.500 0.000 Co

=====

TbPm2Y2Ho4, relaxed, DFT PBE-GGA; Fermi-level density of states = 12.2 states/eV/f.u.; calculated formation energy = -0.0038 eV per atom; space-group type = C2/m (12)
1.0
-0.976 -1.425 -3.155
-5.412 -5.028 5.994
-3.632 8.429 -2.683
Pm Y Tb Ho
2 2 1 4
direct
0.666 0.332 0.001 Pm
0.334 0.668 0.999 Pm
0.853 0.706 0.337 Y
0.147 0.294 0.663 Y
0.000 0.000 0.000 Tb
0.815 0.630 0.664 Ho
0.481 0.962 0.666 Ho
0.185 0.370 0.336 Ho
0.519 0.038 0.334 Ho

=====

Fe2SbRh, relaxed, DFT PBE-GGA; Fermi-level density of states = 3.0 states/eV/f.u.; space-group type = P4/mmm (123); formation energy without anion corrections = -0.011 eV per atom
1.0
-0.633 3.309 1.735
-2.197 -1.753 2.542
3.252 -0.625 2.380
Fe Rh Sb
2 1 1
direct
0.000 0.000 0.000 Fe
0.500 0.500 0.000 Fe
0.500 0.000 0.500 Rh
0.000 0.500 0.500 Sb

=====

PaNiPd2, relaxed, DFT PBE-GGA; Fermi-level density of states = 5.9 states/eV/f.u.; calculated formation energy = -0.4802 eV per atom; space-group type = P4/mmm (123); offset from the most stable computed form = 0.000 eV per atom
1.0
-3.551 0.014 2.363
2.180 -0.753 3.280
0.428 3.939 0.620
Ni Pd Pa
1 2 1
direct
0.500 0.000 0.000 Ni
0.000 0.000 0.500 Pd
0.000 0.500 0.000 Pd
0.500 0.500 0.500 Pa

=====

Pa2Sn2Bi, relaxed, DFT PBE-GGA; Fermi-level density of states = 10.6 states/eV/f.u.; calculated formation energy = 0.1340 eV per atom; space-group type = P6_3/mmc (194)
1.0
-3.254 -3.863 1.203
5.007 -0.312 1.338
-2.510 5.432 10.655
Sn Bi Pa
4 2 4
direct
0.000 0.000 0.000 Sn
0.333 0.667 0.250 Sn
0.000 0.000 0.500 Sn
0.667 0.333 0.750 Sn
0.000 0.000 0.750 Bi
0.000 0.000 0.250 Bi
0.667 0.333 0.392 Pa
0.333 0.667 0.608 Pa
0.667 0.333 0.108 Pa
0.333 0.667 0.892 Pa

=====

Ce3In4Ag2, relaxed, DFT PBE-GGA; Fermi-level density of states = 18.3 states/eV/f.u.; calculated formation energy = -0.3403 eV per atom; space-group type = C2/m (12)
1.0
-0.312 2.107 -4.542
-3.452 -5.019 0.679
-3.265 7.873 3.876
In Ag Ce
4 2 3
direct
0.269 0.539 0.929 In
0.731 0.461 0.071 In
0.955 0.910 0.625 In
0.045 0.090 0.375 In
0.606 0.213 0.276 Ag
0.394 0.787 0.724 Ag
0.331 0.663 0.339 Ce
0.669 0.337 0.661 Ce
0.000 0.000 0.000 Ce

=====

Nd5Sm2Er2, relaxed, DFT PBE-GGA; Fermi-level density of states = 12.4 states/eV/f.u.; calculated formation energy = 0.1629 eV per atom; space-group type = Ima2 (46); offset from the most stable computed form = 0.150 eV per atom
1.0
12.988 0.000 0.000
0.000 6.236 0.000
-6.494 -3.118 7.625
Sm Nd Er
4 10 4
direct
0.500 0.583 0.000 Sm
0.807 0.700 0.500 Sm
0.193 0.200 0.500 Sm
0.000 0.083 0.000 Sm
0.074 0.675 0.500 Nd
0.254 0.115 0.905 Nd
0.850 0.711 0.095 Nd
0.542 0.366 0.712 Nd
0.330 0.154 0.288 Nd
0.150 0.615 0.905 Nd
0.458 0.654 0.288 Nd
0.670 0.866 0.712 Nd
0.926 0.175 0.500 Nd
0.746 0.211 0.095 Nd
0.414 0.879 0.727 Er
0.186 0.652 0.273 Er
0.814 0.379 0.727 Er
0.586 0.152 0.273 Er

=====

no.,size of the total moment (μB per cell)
1,0.00
2,0.00
3,0.00
4,1.00
5,0.00
6,6.20
7,0.00
8,4.95
9,0.81
10,4.95
11,3.79
12,0.00